Density functional theory data (PBE) for a geometry-optimized CsTcAu2I8 structure.

Cell lengths 7.1496, 8.1103, 9.4080 Å; angles 86.77, 77.68, 82.84 degrees
Space group P-1 (No. 2)
Asymmetric unit:
Cs  0.0000  0.0000  0.0000 [1 per cell]
Tc  0.5000  0.0000  0.5000 [1 per cell]
Au  0.2463  0.4075  0.2736 [2 per cell]
I  0.1775  0.8490  0.5990 [2 per cell]
I  0.2425  0.5025  0.0088 [2 per cell]
I  0.2825  0.3153  0.5352 [2 per cell]
I  0.4575  0.9737  0.2216 [2 per cell]

**D(E_F)**: 5.381 states/eV/f.u.
**Formation energy without anion corrections**: -0.27 eV per atom